Record 1
{"formula": "CsOsCl6", "functional": "PBE", "state": "relaxed", "spacegroup": "R-3m (166)", "raw_formation_energy_mev_per_atom": -871, "lattice_angstrom": [[-6.328, 3.039, 0.202], [-3.659, 0.889, -5.928], [-6.022, -4.351, -1.095]], "species": ["Cs", "Os", "Cl", "Cl", "Cl", "Cl", "Cl", "Cl"], "fractional_positions": [[0.500, 0.500, 0.500], [0.000, 0.000, 0.000], [0.915, 0.915, 0.788], [0.382, 0.915, 0.788], [0.085, 0.618, 0.212], [0.618, 0.085, 0.212], [0.085, 0.085, 0.212], [0.915, 0.382, 0.788]]}

---

Record 2
{"formula": "Cs3OsCl", "functional": "PBE", "state": "relaxed", "spacegroup": "Pm-3m (221)", "raw_formation_energy_mev_per_atom": 345, "lattice_angstrom": [[5.995, 0.000, 0.000], [0.000, 5.995, 0.000], [0.000, 0.000, 5.995]], "species": ["Cs", "Cs", "Cs", "Os", "Cl"], "fractional_positions": [[0.000, 0.500, 0.000], [0.000, 0.000, 0.500], [0.500, 0.000, 0.000], [0.000, 0.000, 0.000], [0.500, 0.500, 0.500]]}

---

Record 3
{"formula": "Cs3OsCl7", "functional": "PBE", "state": "relaxed", "spacegroup": "P4/mbm (127)", "raw_formation_energy_mev_per_atom": -1318, "lattice_angstrom": [[-0.190, -6.855, -2.516], [9.729, -1.291, 2.786], [-3.059, -3.278, 9.163]], "species": ["Cs", "Cs", "Cs", "Cs", "Cs", "Cs", "Os", "Os", "Cl", "Cl", "Cl", "Cl", "Cl", "Cl", "Cl", "Cl", "Cl", "Cl", "Cl", "Cl", "Cl", "Cl"], "fractional_positions": [[0.500, 0.180, 0.680], [0.500, 0.680, 0.820], [0.500, 0.320, 0.180], [0.500, 0.820, 0.320], [0.000, 0.500, 0.500], [0.000, 0.000, 0.000], [0.000, 0.000, 0.500], [0.000, 0.500, 0.000], [0.772, 0.385, 0.885], [0.772, 0.615, 0.115], [0.772, 0.115, 0.385], [0.772, 0.885, 0.615], [0.228, 0.385, 0.885], [0.228, 0.885, 0.615], [0.228, 0.115, 0.385], [0.228, 0.615, 0.115], [0.500, 0.000, 0.000], [0.500, 0.500, 0.500], [0.000, 0.837, 0.337], [0.000, 0.337, 0.163], [0.000, 0.663, 0.837], [0.000, 0.163, 0.663]]}

---

Record 4
{"formula": "CsOsCl5", "functional": "PBE", "state": "relaxed", "spacegroup": "C2/c (15)", "raw_formation_energy_mev_per_atom": -832, "lattice_angstrom": [[7.627, 0.824, 1.607], [2.524, 7.244, 1.607], [0.838, 0.666, 9.098]], "species": ["Cs", "Cs", "Os", "Os", "Cl", "Cl", "Cl", "Cl", "Cl", "Cl", "Cl", "Cl", "Cl", "Cl"], "fractional_positions": [[0.493, 0.507, 0.750], [0.507, 0.493, 0.250], [0.000, 0.000, 0.000], [0.000, 0.000, 0.500], [0.329, 0.940, 0.895], [0.330, 0.930, 0.469], [0.940, 0.329, 0.395], [0.913, 0.087, 0.750], [0.070, 0.670, 0.031], [0.930, 0.330, 0.969], [0.087, 0.913, 0.250], [0.060, 0.671, 0.605], [0.670, 0.070, 0.531], [0.671, 0.060, 0.105]]}

---

What did the fourth record say?
{"formula": "CsOsCl5", "functional": "PBE", "state": "relaxed", "spacegroup": "C2/c (15)", "raw_formation_energy_mev_per_atom": -832, "lattice_angstrom": [[7.627, 0.824, 1.607], [2.524, 7.244, 1.607], [0.838, 0.666, 9.098]], "species": ["Cs", "Cs", "Os", "Os", "Cl", "Cl", "Cl", "Cl", "Cl", "Cl", "Cl", "Cl", "Cl", "Cl"], "fractional_positions": [[0.493, 0.507, 0.750], [0.507, 0.493, 0.250], [0.000, 0.000, 0.000], [0.000, 0.000, 0.500], [0.329, 0.940, 0.895], [0.330, 0.930, 0.469], [0.940, 0.329, 0.395], [0.913, 0.087, 0.750], [0.070, 0.670, 0.031], [0.930, 0.330, 0.969], [0.087, 0.913, 0.250], [0.060, 0.671, 0.605], [0.670, 0.070, 0.531], [0.671, 0.060, 0.105]]}